14
Lattice="4.2045 0.0000 0.6334 2.0762 5.4457 0.4899 0.1925 0.0054 12.9945" Properties=species:S:1:pos:R:3 comment="Pm3CoSi3 | Alexandria | PBE | optimized geometry" dft_energy_ev_per_atom=-6.08 sg="C2/m (12)" total_magnetization_mub_per_cell=0.001 crystal_system=monoclinic raw_formation_energy_kj_per_mol_fu=-478 pbc="T T T"
Si 2.4177 4.6711 12.4956
Pm 3.4605 3.6251 5.5725
Si 5.8178 4.7734 4.1960
Pm 4.0308 3.9092 1.7868
Co 3.0714 5.0718 8.1554
Pm 1.6587 1.4703 3.2610
Pm 3.0127 1.8259 8.5452
Si 4.0556 0.7799 1.6221
Co 3.4018 0.3792 5.9622
Pm 4.8145 3.9808 10.8567
Si 5.2456 4.1211 7.9947
Si 1.2276 1.3300 6.1230
Si 0.6554 0.6776 9.9217
Pm 2.4425 1.5418 12.3309